The following is a GGA-PBE calculation of NbSiF2 after structural relaxation, from Alexandria.

Cell: 7.6849 7.6849 5.9734 Å, 49.97 49.97 90.00°
Closest atoms and distances in Å follow each position.
Atoms (fractional coordinates):
Nb 0.0000 0.0000 0.0000  4 F 2.14
Nb 0.7500 0.2500 0.5000  4 F 2.14
Si 0.5000 0.5000 0.0000  2 Nb 2.48, 4 F 2.76
Si 0.2500 0.7500 0.5000  2 Nb 2.48, 4 F 2.76
F 0.7840 0.1250 0.2500  2 Nb 2.14
F 0.9660 0.6250 0.2500  2 Nb 2.14
F 0.3750 0.2160 0.7500  2 Nb 2.14
F 0.8750 0.0340 0.7500  2 Nb 2.14

Computed properties:
Energy above the most stable polymorph in this dataset ... 145 meV/atom
Total magnetic moment ... 0.00 μB/cell
Raw formation energy ... -0.94 eV per atom
Symmetry ... I-42d, No. 122
Density of states at the Fermi level ... 6.3 states/eV/cell